# 1
YSiBi PBE optimized geometry; symmetry = Cmcm; theoretical density = 7.2 g/cm3; electronic total energy = -5.750 eV/atom; formation energy without anion corrections = -0.494 eV/atom; crystal system = orthorhombic
1.0
2.250 -8.244 0.000
2.250 8.244 0.000
0.000 0.000 4.077
Y Si Bi
2 2 2
Direct
0.092 0.908 0.750
0.908 0.092 0.250
0.456 0.544 0.750
0.544 0.456 0.250
0.254 0.746 0.250
0.746 0.254 0.750

# 2
Y2SiBi PBE optimized geometry; symmetry = Fm-3m; theoretical density = 6.6 g/cm3; offset from the most stable computed form = 0.2786 eV/atom; electronic total energy = -5.978 eV/atom; formation energy without anion corrections = -0.420 eV/atom; crystal system = cubic
1.0
0.000 3.739 3.739
3.739 0.000 3.739
3.739 3.739 0.000
Y Si Bi
2 1 1
Direct
0.250 0.250 0.250
0.750 0.750 0.750
0.000 0.000 0.000
0.500 0.500 0.500

# 3
Y5Si2Bi PBE optimized geometry; symmetry = I4/mcm; theoretical density = 5.6 g/cm3; electronic total energy = -6.591 eV/atom; formation energy without anion corrections = -0.710 eV/atom; crystal system = tetragonal
1.0
-3.927 3.927 6.832
3.927 -3.927 6.832
3.927 3.927 -6.832
Y Si Bi
10 4 2
Direct
0.000 0.000 0.000
0.018 0.518 0.812
0.206 0.018 0.500
0.294 0.794 0.812
0.482 0.294 0.500
0.500 0.500 0.000
0.518 0.706 0.500
0.706 0.206 0.188
0.794 0.982 0.500
0.982 0.482 0.188
0.146 0.354 0.500
0.354 0.854 0.208
0.646 0.146 0.792
0.854 0.646 0.500
0.250 0.250 0.000
0.750 0.750 0.000

# 4
Y3SiBi PBE optimized geometry; symmetry = P-1; theoretical density = 6.0 g/cm3; offset from the most stable computed form = 0.0000 eV/atom; electronic total energy = -6.372 eV/atom; formation energy without anion corrections = -0.633 eV/atom; crystal system = triclinic
1.0
6.304 0.000 0.000
1.723 6.116 0.000
2.245 1.558 7.222
Y Si Bi
6 2 2
Direct
0.135 0.390 0.270
0.280 0.932 0.958
0.359 0.826 0.464
0.641 0.174 0.536
0.720 0.068 0.042
0.865 0.610 0.730
0.046 0.147 0.667
0.954 0.853 0.333
0.359 0.455 0.833
0.641 0.545 0.167

# 5
YSi2Bi2 PBE optimized geometry; symmetry = I4/mmm; theoretical density = 7.4 g/cm3; offset from the most stable computed form = 0.0630 eV/atom; electronic total energy = -4.972 eV/atom; formation energy without anion corrections = 0.042 eV/atom; crystal system = tetragonal
1.0
-1.766 1.766 10.131
1.766 -1.766 10.131
1.766 1.766 -10.131
Y Si Bi
1 2 2
Direct
0.000 0.000 0.000
0.250 0.750 0.500
0.750 0.250 0.500
0.387 0.387 0.000
0.613 0.613 0.000

# 6
Y2SiBi PBE optimized geometry; symmetry = R-3m; theoretical density = 6.1 g/cm3; offset from the most stable computed form = 0.0000 eV/atom; electronic total energy = -6.256 eV/atom; formation energy without anion corrections = -0.698 eV/atom; crystal system = trigonal
1.0
2.072 1.196 7.561
-2.072 1.196 7.561
0.000 -2.393 7.561
Y Si Bi
2 1 1
Direct
0.238 0.238 0.238
0.762 0.762 0.762
0.500 0.500 0.500
0.000 0.000 0.000

# 7
YSi3Bi PBE optimized geometry; symmetry = Pm-3m; theoretical density = 4.2 g/cm3; offset from the most stable computed form = 0.0000 eV/atom; electronic total energy = -4.283 eV/atom; formation energy without anion corrections = 1.040 eV/atom; crystal system = cubic
1.0
5.305 0.000 0.000
0.000 5.305 0.000
0.000 0.000 5.305
Y Si Bi
1 3 1
Direct
0.000 0.000 0.000
0.000 0.000 0.500
0.000 0.500 0.000
0.500 0.000 0.000
0.500 0.500 0.500

# 8
YSi2Bi2 PBE optimized geometry; symmetry = I4/mmm; theoretical density = 7.0 g/cm3; offset from the most stable computed form = 0.1528 eV/atom; electronic total energy = -4.883 eV/atom; formation energy without anion corrections = 0.132 eV/atom; crystal system = tetragonal
1.0
-2.201 2.201 6.855
2.201 -2.201 6.855
2.201 2.201 -6.855
Y Si Bi
1 2 2
Direct
0.000 0.000 0.000
0.418 0.418 0.000
0.582 0.582 0.000
0.250 0.750 0.500
0.750 0.250 0.500

# 9
YSi2Bi2 PBE optimized geometry; symmetry = P4/mbm; theoretical density = 7.2 g/cm3; offset from the most stable computed form = 0.2712 eV/atom; electronic total energy = -4.764 eV/atom; formation energy without anion corrections = 0.250 eV/atom; crystal system = tetragonal
1.0
8.175 0.000 0.000
0.000 8.175 0.000
0.000 0.000 3.910
Y Si Bi
2 4 4
Direct
0.000 0.000 0.000
0.500 0.500 0.000
0.183 0.317 0.500
0.317 0.817 0.500
0.683 0.183 0.500
0.817 0.683 0.500
0.139 0.639 0.000
0.361 0.139 0.000
0.639 0.861 0.000
0.861 0.361 0.000

# 10
Y2ZnSiBi PBE optimized geometry; symmetry = P4/mmm; theoretical density = 4.8 g/cm3; electronic total energy = -4.167 eV/atom; formation energy without anion corrections = 0.534 eV/atom; crystal system = tetragonal
1.0
5.782 0.000 0.000
0.000 5.782 0.000
0.000 0.000 5.022
Y Zn Si Bi
2 1 1 1
Direct
0.000 0.500 0.000
0.500 0.000 0.000
0.000 0.000 0.500
0.500 0.500 0.500
0.000 0.000 0.000

# 11
ZnSiBi2 PBE optimized geometry; symmetry = I-42d; theoretical density = 6.7 g/cm3; electronic total energy = -3.395 eV/atom; formation energy without anion corrections = 0.220 eV/atom; crystal system = tetragonal
1.0
-3.187 3.187 6.279
3.187 -3.187 6.279
3.187 3.187 -6.279
Zn Si Bi
2 2 4
Direct
0.000 0.000 0.000
0.750 0.250 0.500
0.250 0.750 0.500
0.500 0.500 0.000
0.128 0.625 0.003
0.375 0.378 0.503
0.622 0.125 0.997
0.875 0.872 0.497

# 12
Zn2SiBi PBE optimized geometry; symmetry = Fm-3m; theoretical density = 7.4 g/cm3; offset from the most stable computed form = 0.1659 eV/atom; electronic total energy = -2.537 eV/atom; formation energy without anion corrections = 0.426 eV/atom; crystal system = cubic
1.0
0.000 3.451 3.451
3.451 0.000 3.451
3.451 3.451 0.000
Zn Si Bi
2 1 1
Direct
0.250 0.250 0.250
0.750 0.750 0.750
0.000 0.000 0.000
0.500 0.500 0.500